(1)
This record from Alexandria via LeMat-Bulk describes crystalline Ta2CuW at its relaxed geometry. The functional is PBE.

## Properties
- DFT formation energy: 0.105 eV/atom
- Relative energy among the computed polymorphs: 72 meV/atom
- M_tot: 0.00 Bohr magnetons per cell

Lattice parameters (Å, degrees): 4.529 4.529 4.529 60.00 60.00 60.00
Positions (direct):
Ta (0.250, 0.250, 0.250)
Ta (0.750, 0.750, 0.750)
Cu (0.000, 0.000, 0.000)
W (0.500, 0.500, 0.500)

(2)
This record from Alexandria via LeMat-Bulk describes crystalline Sc5IrOs4 at its relaxed geometry. The functional is PBE.

## Properties
- DFT formation energy: -0.473 eV/atom
- M_tot: 0.00 Bohr magnetons per cell

Lattice parameters (Å, degrees): 3.214 3.214 16.158 90.00 90.00 90.00
Positions (direct):
Sc (0.000, 0.000, 0.000)
Sc (0.000, 0.000, 0.200)
Sc (0.000, 0.000, 0.398)
Sc (0.000, 0.000, 0.602)
Sc (0.000, 0.000, 0.800)
Ir (0.500, 0.500, 0.500)
Os (0.500, 0.500, 0.099)
Os (0.500, 0.500, 0.300)
Os (0.500, 0.500, 0.700)
Os (0.500, 0.500, 0.901)

- Look up the DFT formation energy of the first one.
  0.105 eV/atom